[1]
# KFe2Pb

KFe2Pb at its PBEsol-relaxed geometry (meta-GGA SCAN, Alexandria via LeMat-Bulk).

As for the density of states at the Fermi level: 0.7777 states/eV/atom. The total DFT energy (no corrections) comes out at -29.121 eV/atom. The calculation puts the distance to the lowest polymorph of the same formula at 236 kJ/mol of formula units.

It has space group C2/m (No. 12), with a = 6.270 Å, b = 9.734 Å, c = 2.886 Å, α = 90.00°, β = 112.74° and γ = 90.00°. Symmetry generates all atoms from K at (0.000, 0.000, 0.000), Fe at (0.250, 0.250, 0.500) and Pb at (0.000, 0.500, 0.000).

[2]
# KFePb2

KFePb2 at its PBEsol-relaxed geometry (meta-GGA SCAN, Alexandria via LeMat-Bulk).

As for the density of states at the Fermi level: 0.3834 states/eV/atom. The total DFT energy (no corrections) comes out at -44.328 eV/atom.

It has space group R-3m (No. 166, hexagonal axes), with a = 3.5664 Å, b = 3.5664 Å, c = 28.5125 Å, α = 90.00°, β = 90.00° and γ = 120.00°. Symmetry generates all atoms from K at (0.0000, 0.0000, 0.0000), Fe at (0.0000, 0.0000, 0.5000) and Pb at (0.0000, 0.0000, 0.2307).

[3]
# K2FePb

K2FePb at its PBEsol-relaxed geometry (meta-GGA SCAN, Alexandria via LeMat-Bulk).

As for the density of states at the Fermi level: 0.7504 states/eV/atom. The total DFT energy (no corrections) comes out at -27.080 eV/atom.

It has space group P4/mmm (No. 123), with a = 3.266 Å, b = 3.266 Å, c = 11.052 Å, α = 90.00°, β = 90.00° and γ = 90.00°. Symmetry generates all atoms from K at (0.000, 0.000, 0.234), Fe at (0.500, 0.500, 0.000) and Pb at (0.500, 0.500, 0.500).

[4]
# KFe2Pt

KFe2Pt at its PBEsol-relaxed geometry (meta-GGA SCAN, Alexandria via LeMat-Bulk).

As for the density of states at the Fermi level: 0.5005 states/eV/atom. The total DFT energy (no corrections) comes out at -28.018 eV/atom.

It has space group C2/m (No. 12), with a = 5.611 Å, b = 8.928 Å, c = 2.657 Å, α = 90.00°, β = 108.84° and γ = 90.00°. Symmetry generates all atoms from K at (0.000, 0.000, 0.000), Fe at (0.250, 0.250, 0.500) and Pt at (0.000, 0.500, 0.000).

[5]
# KFe2Pt

KFe2Pt at its PBEsol-relaxed geometry (meta-GGA SCAN, Alexandria via LeMat-Bulk).

As for the density of states at the Fermi level: 1.0999 states/eV/atom. The total DFT energy (no corrections) comes out at -27.847 eV/atom.

It has space group I-4m2 (No. 119), with a = 4.027 Å, b = 4.027 Å, c = 8.098 Å, α = 90.00°, β = 90.00° and γ = 90.00°. Symmetry generates all atoms from K at (0.000, 0.000, 0.000), Fe at (0.000, 0.000, 0.500), Fe at (0.000, 0.500, 0.750) and Pt at (0.000, 0.500, 0.250).

[6]
# KRb3Fe

KRb3Fe at its PBEsol-relaxed geometry (meta-GGA SCAN, Alexandria via LeMat-Bulk).

As for the density of states at the Fermi level: 2.7815 states/eV/atom. The total DFT energy (no corrections) comes out at -16.661 eV/atom.

It has space group Pm-3m (No. 221), with a = 7.536 Å, b = 7.536 Å, c = 7.536 Å, α = 90.00°, β = 90.00° and γ = 90.00°. Symmetry generates all atoms from K at (0.000, 0.000, 0.000), Rb at (0.000, 0.000, 0.500) and Fe at (0.500, 0.500, 0.500).

[7]
# KRbFeRh2

KRbFeRh2 at its PBEsol-relaxed geometry (meta-GGA SCAN, Alexandria via LeMat-Bulk).

As for the density of states at the Fermi level: 0.8222 states/eV/atom. The total DFT energy (no corrections) comes out at -20.875 eV/atom.

It has space group P4/mmm (No. 123), with a = 4.808 Å, b = 4.808 Å, c = 5.217 Å, α = 90.00°, β = 90.00° and γ = 90.00°. Symmetry generates all atoms from K at (0.000, 0.000, 0.000), Rb at (0.000, 0.000, 0.500), Fe at (0.500, 0.500, 0.500) and Rh at (0.000, 0.500, 0.000).

[8]
# KFe2Re

KFe2Re at its PBEsol-relaxed geometry (meta-GGA SCAN, Alexandria via LeMat-Bulk).

As for the density of states at the Fermi level: 0.8274 states/eV/atom. The total DFT energy (no corrections) comes out at -28.125 eV/atom.

It has space group Cmmm (No. 65), with a = 3.079 Å, b = 4.320 Å, c = 9.584 Å, α = 90.00°, β = 90.00° and γ = 90.00°. Symmetry generates all atoms from K at (0.000, 0.000, 0.000), Fe at (0.000, 0.500, 0.297) and Re at (0.000, 0.000, 0.500).

[9]
# K2FeRe

K2FeRe at its PBEsol-relaxed geometry (meta-GGA SCAN, Alexandria via LeMat-Bulk).

As for the density of states at the Fermi level: 0.5927 states/eV/atom. The total DFT energy (no corrections) comes out at -24.395 eV/atom. The calculation puts the distance to the lowest polymorph of the same formula at 465 kJ/mol of formula units.

It has space group Fm-3m (No. 225), with a = 7.640 Å, b = 7.640 Å, c = 7.640 Å, α = 90.00°, β = 90.00° and γ = 90.00°. Symmetry generates all atoms from K at (0.250, 0.250, 0.250), Fe at (0.000, 0.000, 0.000) and Re at (0.000, 0.000, 0.500).

[10]
# K2FeRe

K2FeRe at its PBEsol-relaxed geometry (meta-GGA SCAN, Alexandria via LeMat-Bulk).

As for the density of states at the Fermi level: 0.8972 states/eV/atom. The total DFT energy (no corrections) comes out at -25.600 eV/atom. The calculation puts the distance to the lowest polymorph of the same formula at 0 kJ/mol of formula units.

It has space group Pmm2 (No. 25), with a = 2.800 Å, b = 3.679 Å, c = 10.205 Å, α = 90.00°, β = 90.00° and γ = 90.00°. Symmetry generates all atoms from K at (0.000, 0.000, 0.000), K at (0.500, 0.500, 0.427), Fe at (0.000, 0.000, 0.673) and Re at (0.500, 0.500, 0.746).

[11]
# K2FeRe

K2FeRe at its PBEsol-relaxed geometry (meta-GGA SCAN, Alexandria via LeMat-Bulk).

As for the density of states at the Fermi level: 0.6922 states/eV/atom. The total DFT energy (no corrections) comes out at -24.857 eV/atom. The calculation puts the distance to the lowest polymorph of the same formula at 287 kJ/mol of formula units.

It has space group P4/mmm (No. 123), with a = 3.600 Å, b = 3.600 Å, c = 5.680 Å, α = 90.00°, β = 90.00° and γ = 90.00°. Symmetry generates all atoms from K at (0.000, 0.500, 0.000), Fe at (0.000, 0.000, 0.500) and Re at (0.500, 0.500, 0.500).

[12]
# KScFeRe2

KScFeRe2 at its PBEsol-relaxed geometry (meta-GGA SCAN, Alexandria via LeMat-Bulk).

As for the density of states at the Fermi level: 1.1913 states/eV/atom. The total DFT energy (no corrections) comes out at -34.318 eV/atom.

It has space group P4/mmm (No. 123), with a = 4.785 Å, b = 4.785 Å, c = 4.792 Å, α = 90.00°, β = 90.00° and γ = 90.00°. Symmetry generates all atoms from K at (0.000, 0.000, 0.000), Sc at (0.500, 0.500, 0.500), Fe at (0.500, 0.500, 0.000) and Re at (0.000, 0.500, 0.500).